# BaSb3Au PBE optimized geometry
data_BaSb3Au
_chemical_formula_sum 'Ba2 Sb6 Au2'
_symmetry_space_group_name_H-M 'P 1 21/m 1'
_symmetry_Int_Tables_number 11
_cell_length_a 6.5099
_cell_length_b 7.2020
_cell_length_c 6.6580
_cell_angle_alpha 90.00
_cell_angle_beta 102.29
_cell_angle_gamma 90.00
loop_
_symmetry_equiv_pos_as_xyz
'x,y,z'
'-x,-y,-z'
'-x,y+1/2,-z'
'x,-y+1/2,z'
loop_
_atom_site_label
_atom_site_type_symbol
_atom_site_fract_x
_atom_site_fract_y
_atom_site_fract_z
_atom_site_occupancy
Ba1 Ba 0.2068 0.2500 0.2214 1
Sb1 Sb 0.0882 0.7500 0.3755 1
Sb2 Sb 0.3033 0.0093 0.7577 1
Au1 Au 0.3304 0.7500 0.0796 1
# * formation energy without anion corrections: -480.2 meV per atom
# * density of states at the Fermi level: 2.96 states/eV/cell
# * polymorph energy (0 for the lowest one): 0.000 eV per atom